# PmTiCo2O6

Crystalline PmTiCo2O6 at its relaxed geometry (PBE with a Hubbard U, Alexandria).

Cell lengths 5.2093, 5.2093, 5.6033 Å; angles 62.30, 62.30, 60.00 degrees
Site moments in Bohr magnetons follow the coordinates.
Fractional coordinates of all 10 atoms:
O 0.1705 0.3375 0.7610  0.02
O 0.2369 0.9273 0.2186  0.03
O 0.6172 0.2369 0.2186  0.03
O 0.7309 0.1705 0.7610  0.02
O 0.3375 0.7309 0.7610  0.02
O 0.9274 0.6172 0.2185  0.03
Co 0.0077 0.0078 0.9768  0.08
Co 0.5256 0.5256 0.4233  2.64
Pm 0.7913 0.7913 0.6261  -0.01
Ti 0.3166 0.3166 0.0503  0.04

Values from the calculation:
* space-group type: R3 (146)
* total energy: -7.433 eV/atom
* crystal system: trigonal